Entry 1:
First-principles (PBE-GGA) data for a geometry-optimized BaH8C6N6O8 structure, as listed in Alexandria via LeMat-Bulk.

Summary:
Its total energy is -6.8951 eV/atom. The value obtained for the density is 2.28 g cm⁻³. Its space group is P-1, No. 2.

Unit cell a=7.3547 b=9.5488 c=9.3641 alpha=84.91 beta=81.92 gamma=74.19
With the nearest neighbours (Å) after each atom.
Element x y z (fractional)
H  0.6656  0.6326  0.0262  1 O 0.99
H  0.2776  0.3893  0.8164  1 O 0.99
H  0.4502  0.7674  0.6187  1 N 1.04
H  0.8500  0.4142  0.4384  1 N 1.05
H  0.5661  0.1755  0.6419  1 N 1.04
H  0.1500  0.5858  0.5616  1 N 1.05
H  0.7325  0.0132  0.0563  1 O 0.99
H  0.2269  0.0096  0.7776  1 O 0.98
H  0.2675  0.9868  0.9437  1 O 0.99
H  0.9340  0.8070  0.4618  1 N 1.05
H  0.4339  0.8245  0.3581  1 N 1.04
H  0.7224  0.6107  0.1836  1 O 0.99
H  0.5498  0.2326  0.3813  1 N 1.04
H  0.0660  0.1930  0.5382  1 N 1.05
H  0.3344  0.3674  0.9738  1 O 0.99
H  0.7731  0.9904  0.2224  1 O 0.98
O  0.6929  0.0492  0.4083  1 C 1.25
O  0.8325  0.9779  0.1217  2 H 0.98-0.99
O  0.9609  0.3073  0.3001  1 C 1.27
O  0.9434  0.2962  0.6777  1 C 1.27
O  0.0391  0.6927  0.6999  1 C 1.27
O  0.6085  0.6546  0.3825  1 C 1.25
O  0.2252  0.4064  0.9180  2 H 0.99
O  0.3071  0.9508  0.5917  1 C 1.25
O  0.3915  0.3454  0.6175  1 C 1.25
O  0.1675  0.0221  0.8783  2 H 0.98-0.99
O  0.6550  0.1091  0.8910  1 C 1.26
O  0.4823  0.6751  0.8748  1 C 1.26
O  0.5177  0.3249  0.1252  1 C 1.26
O  0.0566  0.7038  0.3223  1 C 1.27
O  0.7748  0.5936  0.0820  2 H 0.99
O  0.3450  0.8909  0.1090  1 C 1.26
C  0.8153  0.4142  0.6655  1 O 1.27, 2 N 1.35-1.39
C  0.2612  0.9999  0.4695  1 O 1.25, 2 N 1.36-1.37
C  0.5804  0.6076  0.7690  1 O 1.26, 2 N 1.35-1.40
C  0.0821  0.1853  0.3122  1 O 1.27, 2 N 1.34-1.40
C  0.7195  0.0258  0.7888  1 O 1.26, 2 N 1.35-1.40
C  0.9179  0.8147  0.6878  1 O 1.27, 2 N 1.34-1.40
C  0.1847  0.5858  0.3345  1 O 1.27, 2 N 1.35-1.39
C  0.2805  0.9742  0.2112  1 O 1.26, 2 N 1.35-1.40
C  0.7388  0.0001  0.5305  1 O 1.25, 2 N 1.36-1.37
C  0.3572  0.3986  0.4939  1 O 1.25, 2 N 1.37
C  0.6428  0.6014  0.5061  1 O 1.25, 2 N 1.37
C  0.4196  0.3924  0.2310  1 O 1.26, 2 N 1.35-1.40
N  0.1322  0.1313  0.4486  1 H 1.05
N  0.2228  0.5267  0.4720  1 H 1.05
N  0.4525  0.3336  0.3704  1 H 1.04
N  0.8396  0.8919  0.8043  2 C 1.34-1.35
N  0.6651  0.0750  0.6521  1 H 1.04
N  0.7169  0.4820  0.7835  2 C 1.35
N  0.8678  0.8687  0.5514  1 H 1.05
N  0.3349  0.9250  0.3479  1 H 1.04
N  0.7772  0.4733  0.5280  1 H 1.05
N  0.1604  0.1081  0.1957  2 C 1.34-1.35
N  0.5475  0.6664  0.6296  1 H 1.04
N  0.2831  0.5180  0.2165  2 C 1.35
Ba  0.8989  0.2720  0.9971  8 O 2.82-3.10, 2 N 2.90-2.91, 1 H 3.02
Ba  0.1011  0.7280  0.0029  8 O 2.82-3.10, 2 N 2.90-2.91, 1 H 3.02

***

Entry 2:
First-principles (PBE-GGA) data for a geometry-optimized BaH6C2S2N2O3 structure, as listed in Alexandria via LeMat-Bulk.

Summary:
Its total energy is -5.8122 eV/atom. The value obtained for the density is 2.07 g cm⁻³. Its space group is C2/m, No. 12.

Unit cell a=8.3860 b=8.3860 c=13.7676 alpha=81.05 beta=81.05 gamma=31.09
With the nearest neighbours (Å) after each atom.
Element x y z (fractional)
H  0.7739  0.7739  0.8219  1 O 0.98
H  0.2096  0.8654  0.3788  1 O 0.98
H  0.8654  0.2096  0.3788  1 O 0.98
H  0.2184  0.2184  0.2916  1 O 0.98
H  0.3022  0.9577  0.9742  1 O 0.99
H  0.7904  0.1346  0.6212  1 O 0.98
H  0.0423  0.6978  0.0258  1 O 0.99
H  0.7816  0.7816  0.7084  1 O 0.98
H  0.6978  0.0423  0.0258  1 O 0.99
H  0.1346  0.7904  0.6212  1 O 0.98
H  0.2261  0.2261  0.1781  1 O 0.98
H  0.9577  0.3022  0.9742  1 O 0.99
C  0.6534  0.6534  0.5038  1 N 1.19
C  0.3466  0.3466  0.4962  1 N 1.19
C  0.5433  0.5433  0.1508  1 N 1.19
C  0.4567  0.4567  0.8492  1 N 1.19
N  0.4719  0.4719  0.1890  1 C 1.19
N  0.5281  0.5281  0.8110  1 C 1.19
N  0.3433  0.3433  0.4107  1 C 1.19
N  0.6567  0.6567  0.5893  1 C 1.19
S  0.3578  0.3578  0.8994  1 C 1.63
S  0.6490  0.6490  0.3858  1 C 1.64
S  0.6422  0.6422  0.1006  1 C 1.63
S  0.3510  0.3510  0.6142  1 C 1.64
Ba  0.1320  0.1320  0.7307  4 O 2.74-2.95, 4 N 2.91-2.96
Ba  0.8680  0.8680  0.2693  4 O 2.74-2.95, 4 N 2.91-2.96
O  0.2598  0.2598  0.2311  2 H 0.98
O  0.8668  0.8668  0.0706  2 H 0.99
O  0.1332  0.1332  0.9294  2 H 0.99
O  0.7402  0.7402  0.7689  2 H 0.98
O  0.9973  0.9973  0.6327  2 H 0.98
O  0.0027  0.0027  0.3673  2 H 0.98

***

Entry 3:
First-principles (PBE-GGA) data for a geometry-optimized Ba2H14C12S4N4O15 structure, as listed in Alexandria via LeMat-Bulk.

Summary:
Its total energy is -6.4523 eV/atom. The value obtained for the density is 2.31 g cm⁻³. Its space group is C2/c, No. 15.

Unit cell a=7.9845 b=7.9845 c=22.8806 alpha=82.16 beta=82.16 gamma=58.88
With the nearest neighbours (Å) after each atom.
Element x y z (fractional)
C  0.3321  0.5320  0.3879  2 O 1.26-1.29
C  0.8157  0.3631  0.5628  1 N 1.33
C  0.0831  0.1526  0.5151  1 N 1.36, 1 C 1.41
C  0.9707  0.4162  0.8713  2 O 1.27
C  0.9314  0.7427  0.0808  1 N 1.32
C  0.7427  0.9314  0.5808  1 N 1.32
C  0.9169  0.8474  0.4849  1 N 1.36, 1 C 1.41
C  0.3631  0.8157  0.0628  1 N 1.33
C  0.0142  0.7237  0.5340  1 N 1.36, 1 C 1.41
C  0.0293  0.5838  0.1287  2 O 1.27
C  0.5838  0.0293  0.6287  2 O 1.27
C  0.9858  0.2763  0.4660  1 N 1.36, 1 C 1.41
C  0.1526  0.0831  0.0151  1 N 1.36, 1 C 1.41
C  0.5320  0.3321  0.8879  2 O 1.26-1.29
C  0.1843  0.6369  0.4372  1 N 1.33
C  0.8474  0.9169  0.9849  1 N 1.36, 1 C 1.41
C  0.6679  0.4680  0.6121  2 O 1.26-1.29
C  0.6369  0.1843  0.9372  1 N 1.33
C  0.2763  0.9858  0.9660  1 N 1.36, 1 C 1.41
C  0.7237  0.0142  0.0340  1 N 1.36, 1 C 1.41
C  0.4680  0.6679  0.1121  2 O 1.26-1.29
C  0.4162  0.9707  0.3713  2 O 1.27
C  0.2573  0.0686  0.4192  1 N 1.32
C  0.0686  0.2573  0.9192  1 N 1.32
N  0.0836  0.2282  0.4118  2 C 1.32-1.36
N  0.2004  0.9881  0.0694  2 C 1.33-1.36
N  0.7718  0.9164  0.0882  2 C 1.32-1.36
N  0.2282  0.0836  0.9118  2 C 1.32-1.36
N  0.7996  0.0119  0.9306  2 C 1.33-1.36
N  0.0119  0.7996  0.4306  2 C 1.33-1.36
N  0.9881  0.2004  0.5694  2 C 1.33-1.36
N  0.9164  0.7718  0.5882  2 C 1.32-1.36
O  0.5723  0.8221  0.3892  1 C 1.27
O  0.3988  0.7147  0.1653  1 C 1.29
O  0.0446  0.3830  0.8183  1 C 1.27
O  0.9021  0.0979  0.7500  2 H 0.99
O  0.6558  0.8991  0.8196  2 H 0.98-1.01
O  0.8991  0.6558  0.3196  2 H 0.98-1.01
O  0.1009  0.3442  0.6804  2 H 0.98-1.01
O  0.7147  0.3988  0.6653  1 C 1.29
O  0.3442  0.1009  0.1804  2 H 0.98-1.01
O  0.4897  0.3819  0.4026  1 C 1.26
O  0.3751  0.3869  0.7418  2 H 0.98-1.00
O  0.3830  0.0446  0.3183  1 C 1.27
O  0.3869  0.3751  0.2418  2 H 0.98-1.00
O  0.8659  0.2134  0.1678  2 H 0.99-1.01
O  0.3819  0.4897  0.9026  1 C 1.26
O  0.6249  0.6131  0.2582  2 H 0.98-1.00
O  0.5103  0.6181  0.5974  1 C 1.26
O  0.6181  0.5103  0.0974  1 C 1.26
O  0.2134  0.8659  0.6678  2 H 0.99-1.01
O  0.1341  0.7866  0.8322  2 H 0.99-1.01
O  0.6012  0.2853  0.8347  1 C 1.29
O  0.2853  0.6012  0.3347  1 C 1.29
O  0.4277  0.1779  0.6108  1 C 1.27
O  0.9554  0.6170  0.1817  1 C 1.27
O  0.1779  0.4277  0.1108  1 C 1.27
O  0.6170  0.9554  0.6817  1 C 1.27
O  0.0979  0.9021  0.2500  2 H 0.99
O  0.8221  0.5723  0.8892  1 C 1.27
O  0.7866  0.1341  0.3322  2 H 0.99-1.01
O  0.6131  0.6249  0.7582  2 H 0.98-1.00
H  0.8069  0.1566  0.7841  1 O 0.99
H  0.5268  0.6233  0.2906  1 O 0.98
H  0.4409  0.3680  0.7781  1 O 1.00
H  0.1931  0.8434  0.2159  1 O 0.99
H  0.1566  0.8069  0.2841  1 O 0.99
H  0.2200  0.2888  0.6511  1 O 1.01
H  0.9769  0.1362  0.1396  1 O 0.99
H  0.3680  0.4409  0.2781  1 O 1.00
H  0.8638  0.0231  0.3604  1 O 0.99
H  0.4732  0.3767  0.7094  1 O 0.98
H  0.3444  0.9947  0.1633  1 O 0.98
H  0.6703  0.2305  0.3570  1 O 1.01
H  0.9947  0.3444  0.6633  1 O 0.98
H  0.7800  0.7112  0.3489  1 O 1.01
H  0.6233  0.5268  0.7906  1 O 0.98
H  0.6320  0.5591  0.7219  1 O 1.00
H  0.7695  0.3297  0.1430  1 O 1.01
H  0.2305  0.6703  0.8570  1 O 1.01
H  0.3297  0.7695  0.6430  1 O 1.01
H  0.6556  0.0053  0.8367  1 O 0.98
H  0.5591  0.6320  0.2219  1 O 1.00
H  0.0053  0.6556  0.3367  1 O 0.98
H  0.8434  0.1931  0.7159  1 O 0.99
H  0.2888  0.2200  0.1511  1 O 1.01
H  0.3767  0.4732  0.2094  1 O 0.98
H  0.0231  0.8638  0.8604  1 O 0.99
H  0.7112  0.7800  0.8489  1 O 1.01
H  0.1362  0.9769  0.6396  1 O 0.99
S  0.9670  0.3100  0.9913  2 C 1.72-1.74
S  0.7608  0.4646  0.4907  2 C 1.72-1.74
S  0.6900  0.0330  0.5087  2 C 1.72-1.74
S  0.2392  0.5354  0.5093  2 C 1.72-1.74
S  0.3100  0.9670  0.4913  2 C 1.72-1.74
S  0.5354  0.2392  0.0093  2 C 1.72-1.74
S  0.4646  0.7608  0.9907  2 C 1.72-1.74
S  0.0330  0.6900  0.0087  2 C 1.72-1.74
Ba  0.7034  0.9749  0.2323  8 O 2.81-3.06, 1 H 3.08
Ba  0.2966  0.0251  0.7677  8 O 2.81-3.06, 1 H 3.08
Ba  0.0251  0.2966  0.2677  8 O 2.81-3.06, 1 H 3.08
Ba  0.9749  0.7034  0.7323  8 O 2.81-3.06, 1 H 3.08

***

Entry 4:
First-principles (PBE-GGA) data for a geometry-optimized Ba2H14C4O15 structure, as listed in Alexandria via LeMat-Bulk.

Summary:
Its total energy is -5.9875 eV/atom. The value obtained for the density is 2.61 g cm⁻³. Its space group is C2/c, No. 15.

Unit cell a=7.8148 b=7.8148 c=14.3563 alpha=94.91 beta=101.03 gamma=119.41
With the nearest neighbours (Å) after each atom.
Element x y z (fractional)
O  0.4608  0.1527  0.8814  2 H 0.98-1.00
O  0.7000  0.0319  0.3659  1 C 1.26
O  0.1973  0.6806  0.2587  2 H 0.99
O  0.9219  0.9386  0.2413  2 H 0.99
O  0.8946  0.1451  0.8859  1 C 1.28
O  0.1054  0.8549  0.1141  1 C 1.28
O  0.5534  0.8034  0.7500  2 H 0.99
O  0.5392  0.8473  0.1186  2 H 0.98-1.00
O  0.7713  0.5794  0.6186  2 H 0.98-1.00
O  0.3042  0.2212  0.5144  1 C 1.26
O  0.7713  0.2655  0.4948  1 C 1.28
O  0.6493  0.4687  0.1282  2 H 0.99-1.00
O  0.7292  0.7235  0.9948  1 C 1.28
O  0.8339  0.6659  0.8659  1 C 1.26
O  0.0781  0.0614  0.7587  2 H 0.99
O  0.2287  0.4206  0.3814  2 H 0.98-1.00
O  0.8027  0.3194  0.7413  2 H 0.99
O  0.3000  0.9681  0.6341  1 C 1.26
O  0.2068  0.7898  0.9856  1 C 1.26
O  0.1595  0.4788  0.6282  2 H 0.99-1.00
O  0.6958  0.7788  0.4856  1 C 1.26
O  0.4466  0.1966  0.2500  2 H 0.99
O  0.3507  0.5313  0.8718  2 H 0.99-1.00
O  0.2408  0.9913  0.3859  1 C 1.28
O  0.1661  0.3341  0.1341  1 C 1.26
O  0.7592  0.0087  0.6141  1 C 1.28
O  0.8405  0.5212  0.3718  2 H 0.99-1.00
O  0.7932  0.2102  0.0144  1 C 1.26
O  0.2708  0.2765  0.0052  1 C 1.28
O  0.2287  0.7345  0.5052  1 C 1.28
H  0.7426  0.6548  0.5709  1 O 1.00
H  0.6664  0.9021  0.8059  1 O 0.99
H  0.0376  0.9766  0.2980  1 O 0.99
H  0.3856  0.1805  0.9220  1 O 0.98
H  0.9810  0.6242  0.4091  1 O 0.99
H  0.7844  0.2213  0.6857  1 O 0.99
H  0.6144  0.8195  0.0780  1 O 0.98
H  0.7586  0.4637  0.5780  1 O 0.98
H  0.9624  0.0234  0.7020  1 O 0.99
H  0.0190  0.3758  0.5909  1 O 0.99
H  0.2849  0.4281  0.9091  1 O 0.99
H  0.5066  0.3837  0.0848  1 O 1.00
H  0.7989  0.4218  0.4152  1 O 1.00
H  0.3336  0.0979  0.1941  1 O 0.99
H  0.4934  0.6163  0.9152  1 O 1.00
H  0.4161  0.8282  0.0709  1 O 1.00
H  0.8214  0.2604  0.7980  1 O 0.99
H  0.5962  0.8605  0.6941  1 O 0.99
H  0.2011  0.5782  0.5848  1 O 1.00
H  0.7151  0.5719  0.0909  1 O 0.99
H  0.2574  0.3452  0.4291  1 O 1.00
H  0.4038  0.1395  0.3059  1 O 0.99
H  0.9644  0.9013  0.1857  1 O 0.99
H  0.2414  0.5363  0.4220  1 O 0.98
H  0.2156  0.7787  0.3143  1 O 0.99
H  0.0356  0.0987  0.8143  1 O 0.99
H  0.5839  0.1718  0.9291  1 O 1.00
H  0.1786  0.7396  0.2020  1 O 0.99
Ba  0.8441  0.2628  0.2204  10 O 2.85-3.02, 1 H 3.11
Ba  0.1559  0.7372  0.7796  10 O 2.85-3.02, 1 H 3.11
Ba  0.4576  0.3764  0.7204  10 O 2.85-3.02, 1 H 3.11
Ba  0.5424  0.6236  0.2796  10 O 2.85-3.02, 1 H 3.11
C  0.0769  0.7967  0.0237  2 O 1.26-1.28
C  0.8624  0.7237  0.9552  2 O 1.26-1.28
C  0.1376  0.2763  0.0448  2 O 1.26-1.28
C  0.9231  0.2033  0.9763  2 O 1.26-1.28
C  0.7270  0.9468  0.5237  2 O 1.26-1.28
C  0.2730  0.0532  0.4763  2 O 1.26-1.28
C  0.2685  0.9072  0.5448  2 O 1.26-1.28
C  0.7315  0.0928  0.4552  2 O 1.26-1.28